! TlCdSe2 | Alexandria | PBE-GGA | optimized geometry; values from VASP
! Electronic total energy, eV per atom: -2.91
! Formation energy (no corrections), eV per atom: -0.35
! Space group: No. 123
! M_tot, μB per cell: 0.000
&SYSTEM
  ibrav = 0, nat = 4, ntyp = 3
/
ATOMIC_SPECIES
Tl 204.38 Tl.upf
Cd 112.41 Cd.upf
Se 78.96 Se.upf
ATOMIC_POSITIONS crystal
Tl 0.000 0.000 0.000
Cd 0.500 0.500 0.500
Se 0.000 0.000 0.500
Se 0.500 0.500 0.000
CELL_PARAMETERS angstrom
4.146 0.000 0.000
0.000 4.146 0.000
0.000 0.000 5.956